First-principles (PBE-GGA) data for an optimized crystal structure of Be2TcAg, as listed in Alexandria via LeMat-Bulk.

```
Be2TcAg
1.0
4.686 -0.003 0.009
3.972 2.487 0.009
1.199 0.344 4.183
Be Tc Ag
2 1 1
Direct
0.019 0.019 0.042 Be
0.730 0.730 0.702 Be
0.485 0.485 0.572 Tc
0.266 0.266 0.184 Ag
```

Output
ΔH_f (0 K): 0.136 eV/atom
N(E_F): 1.60 states/eV/cell
Calculated density: 7.6 g/cm³

First-principles (PBE-GGA) data for an optimized crystal structure of Be2CrTc, as listed in Alexandria via LeMat-Bulk.

```
Be2CrTc
1.0
-2.932 1.984 2.559
-1.062 -2.482 3.434
3.578 1.722 -1.820
Cr Tc Be
1 1 2
Direct
0.507 0.507 0.000 Cr
0.244 0.744 0.500 Tc
0.981 0.981 0.000 Be
0.769 0.269 0.500 Be
```

Output
ΔH_f (0 K): -0.087 eV/atom
N(E_F): 2.02 states/eV/cell
Calculated density: 6.5 g/cm³

First-principles (PBE-GGA) data for an optimized crystal structure of Na3MnSb, as listed in Alexandria via LeMat-Bulk.

```
Na3MnSb
1.0
5.500 0.000 0.000
0.000 5.500 0.000
0.000 0.000 5.500
Sb Mn Na
1 1 3
Direct
0.500 0.500 0.500 Sb
0.000 0.000 0.000 Mn
0.000 0.500 0.000 Na
0.000 0.000 0.500 Na
0.500 0.000 0.000 Na
```

Output
N(E_F): 4.23 states/eV/cell
Calculated density: 2.5 g/cm³
Formation energy from raw total energies: 696 meV/atom

First-principles (PBE-GGA) data for an optimized crystal structure of La2MgHg, as listed in Alexandria via LeMat-Bulk.

```
La2MgHg
1.0
-6.522 0.297 -0.165
-5.581 -3.346 0.555
-2.458 0.341 4.939
Mg Hg La
1 1 2
Direct
0.534 0.534 0.465 Mg
0.228 0.228 0.273 Hg
0.982 0.982 0.018 La
0.756 0.756 0.744 La
```

Output
ΔH_f (0 K): -0.285 eV/atom
N(E_F): 3.20 states/eV/cell
Calculated density: 7.0 g/cm³

First-principles (PBE-GGA) data for an optimized crystal structure of Ce9Pm4Tl11, as listed in Alexandria via LeMat-Bulk.

```
Ce9Pm4Tl11
1.0
3.421 0.000 0.000
0.000 13.785 -3.931
0.000 1.803 14.220
Ce Pm Tl
9 4 11
Direct
0.500 0.627 0.140 Ce
0.500 0.373 0.860 Ce
0.500 0.140 0.627 Ce
0.500 0.860 0.373 Ce
0.500 0.791 0.963 Ce
0.500 0.209 0.037 Ce
0.500 0.963 0.791 Ce
0.500 0.037 0.209 Ce
0.500 0.500 0.500 Ce
0.500 0.558 0.729 Pm
0.500 0.442 0.271 Pm
0.500 0.729 0.558 Pm
0.500 0.271 0.442 Pm
0.000 0.582 0.931 Tl
0.000 0.418 0.069 Tl
0.000 0.931 0.582 Tl
0.000 0.069 0.418 Tl
0.000 0.642 0.358 Tl
0.000 0.358 0.642 Tl
0.000 0.832 0.168 Tl
0.000 0.168 0.832 Tl
0.000 0.000 0.000 Tl
0.000 0.760 0.760 Tl
0.000 0.240 0.240 Tl
```

Output
ΔH_f (0 K): -0.211 eV/atom
N(E_F): 63.58 states/eV/cell
Calculated density: 9.8 g/cm³

First-principles (PBE-GGA) data for an optimized crystal structure of CeMg2Zn2Sn2, as listed in Alexandria via LeMat-Bulk.

```
CeMg2Zn2Sn2
1.0
4.737 0.000 0.000
2.369 4.102 0.000
2.369 1.367 8.185
Ce Mg Zn Sn
1 2 2 2
Direct
0.000 0.000 0.000 Ce
0.138 0.138 0.587 Mg
0.862 0.862 0.413 Mg
0.556 0.556 0.333 Zn
0.444 0.444 0.667 Zn
0.741 0.741 0.778 Sn
0.259 0.259 0.222 Sn
```

Output
ΔH_f (0 K): -0.227 eV/atom
N(E_F): 9.14 states/eV/cell
Calculated density: 5.8 g/cm³

First-principles (PBE-GGA) data for an optimized crystal structure of KCaGa2F8, as listed in Alexandria via LeMat-Bulk.

```
KCaGa2F8
1.0
5.656 0.000 0.000
2.828 4.898 0.000
2.828 1.633 7.371
K Ca Ga F
1 1 2 8
Direct
0.500 0.500 0.500 K
0.000 0.000 0.000 Ca
0.254 0.254 0.237 Ga
0.746 0.746 0.763 Ga
0.172 0.172 0.484 F
0.599 0.275 0.173 F
0.828 0.828 0.516 F
0.952 0.599 0.173 F
0.048 0.401 0.827 F
0.275 0.952 0.173 F
0.725 0.048 0.827 F
0.401 0.725 0.827 F
```

Output
N(E_F): 2.07 states/eV/cell
Calculated density: 3.0 g/cm³
Formation energy from raw total energies: -2747 meV/atom

First-principles (PBE-GGA) data for an optimized crystal structure of Ca2Al3CdAg12, as listed in Alexandria via LeMat-Bulk.

```
Ca2Al3CdAg12
1.0
-2.626 6.533 1.490
-5.264 -2.343 4.312
3.696 0.846 6.117
Ca Al Cd Ag
2 3 1 12
Direct
0.704 0.704 0.704 Ca
0.296 0.296 0.296 Ca
0.500 0.000 0.000 Al
0.000 0.500 0.000 Al
0.000 0.000 0.500 Al
0.000 0.000 0.000 Cd
0.402 0.402 0.882 Ag
0.807 0.807 0.304 Ag
0.304 0.807 0.807 Ag
0.882 0.402 0.402 Ag
0.807 0.304 0.807 Ag
0.402 0.882 0.402 Ag
0.598 0.598 0.118 Ag
0.193 0.193 0.696 Ag
0.696 0.193 0.193 Ag
0.118 0.598 0.598 Ag
0.193 0.696 0.193 Ag
0.598 0.118 0.598 Ag
```

Output
ΔH_f (0 K): 0.008 eV/atom
N(E_F): 5.40 states/eV/cell
Calculated density: 7.1 g/cm³

First-principles (PBE-GGA) data for an optimized crystal structure of In2MoWI, as listed in Alexandria via LeMat-Bulk.

```
In2MoWI
1.0
-2.776 -0.037 4.802
-1.121 -4.943 -0.685
4.646 -1.424 2.675
I Mo W In
1 1 1 2
Direct
0.000 0.000 0.000 I
0.000 0.500 0.000 Mo
0.500 0.500 0.500 W
0.000 0.000 0.500 In
0.500 0.000 0.000 In
```

Output
N(E_F): 4.28 states/eV/cell
Calculated density: 6.7 g/cm³
Formation energy from raw total energies: 2467 meV/atom

First-principles (PBE-GGA) data for an optimized crystal structure of LiTiRe2F, as listed in Alexandria via LeMat-Bulk.

```
LiTiRe2F
1.0
-4.359 -0.900 -0.674
1.476 -4.482 -3.561
0.032 -2.794 3.529
Re F Li Ti
2 1 1 1
Direct
0.000 0.000 0.500 Re
0.500 0.000 0.000 Re
0.500 0.500 0.500 F
0.000 0.500 0.000 Li
0.000 0.000 0.000 Ti
```

Output
N(E_F): 4.68 states/eV/cell
Calculated density: 6.2 g/cm³
Formation energy from raw total energies: 1549 meV/atom

First-principles (PBE-GGA) data for an optimized crystal structure of Er8Bi2B, as listed in Alexandria via LeMat-Bulk.

```
Er8Bi2B
1.0
4.146 0.000 0.000
0.000 8.082 0.936
-2.073 -1.884 9.114
Er Bi B
8 2 1
Direct
0.408 0.475 0.817 Er
0.635 0.037 0.269 Er
0.792 0.643 0.585 Er
0.006 0.202 0.012 Er
0.208 0.357 0.415 Er
0.365 0.963 0.731 Er
0.592 0.525 0.183 Er
0.994 0.798 0.988 Er
0.820 0.230 0.640 Bi
0.180 0.770 0.360 Bi
0.500 0.000 0.000 B
```

Output
ΔH_f (0 K): -0.265 eV/atom
N(E_F): 12.60 states/eV/cell
Calculated density: 9.4 g/cm³

First-principles (PBE-GGA) data for an optimized crystal structure of AcZn3Cu2, as listed in Alexandria via LeMat-Bulk.

```
AcZn3Cu2
1.0
4.163 0.000 0.000
-2.082 7.984 0.213
0.000 -3.410 6.783
Ac Zn Cu
2 6 4
Direct
0.852 0.703 0.932 Ac
0.148 0.297 0.068 Ac
0.315 0.630 0.549 Zn
0.965 0.930 0.628 Zn
0.593 0.187 0.666 Zn
0.407 0.813 0.334 Zn
0.035 0.070 0.372 Zn
0.685 0.370 0.451 Zn
0.481 0.961 0.824 Cu
0.519 0.039 0.176 Cu
0.810 0.621 0.331 Cu
0.190 0.379 0.669 Cu
```

Output
ΔH_f (0 K): -0.184 eV/atom
N(E_F): 6.34 states/eV/cell
Calculated density: 8.0 g/cm³